Record 1
{"formula": "Co2Ni2Sn", "functional": "PBE-GGA", "state": "optimized geometry", "e_tot_ev_per_atom": -5.743, "magmom_total_mub_per_atom": 0.842, "e_above_lowest_polymorph_ev_per_atom": 0.012, "delta_e_f_mev_per_atom": 212, "cell": [[6.8004, 0.0000, 0.0000], [0.0000, 6.8004, 0.0000], [0.0000, 0.0000, 2.8821]], "species": ["Co", "Co", "Co", "Co", "Ni", "Ni", "Ni", "Ni", "Sn", "Sn"], "frac_coords": [[0.1224, 0.3776, 0.0000], [0.3776, 0.8776, 0.0000], [0.6224, 0.1224, 0.0000], [0.8776, 0.6224, 0.0000], [0.1675, 0.6675, 0.5000], [0.3325, 0.1675, 0.5000], [0.6675, 0.8325, 0.5000], [0.8325, 0.3325, 0.5000], [0.0000, 0.0000, 0.0000], [0.5000, 0.5000, 0.0000]]}


Record 2
{"formula": "Er3BiSeN", "functional": "PBE-GGA", "state": "optimized geometry", "e_form_raw_ev_per_atom": -1.29, "e_tot_ev_per_atom": -6.187, "magmom_total_mub_per_atom": 0.000, "cell": [[8.6942, 0.0000, 0.0000], [0.0000, 4.0853, 0.0000], [-1.6414, 0.0000, 8.9124]], "species": ["Er", "Er", "Er", "Er", "Er", "Er", "Bi", "Bi", "Se", "Se", "N", "N"], "frac_coords": [[0.0876, 0.2500, 0.3488], [0.3485, 0.2500, 0.9890], [0.3876, 0.7500, 0.6632], [0.6124, 0.2500, 0.3368], [0.6515, 0.7500, 0.0110], [0.9124, 0.7500, 0.6512], [0.3281, 0.7500, 0.2884], [0.6719, 0.2500, 0.7116], [0.1463, 0.2500, 0.6642], [0.8537, 0.7500, 0.3358], [0.4055, 0.7500, 0.9015], [0.5945, 0.2500, 0.0985]]}


Record 3
{"formula": "CdRuCl2", "functional": "PBE-GGA", "state": "optimized geometry", "e_form_raw_ev_per_atom": 0.04, "e_tot_ev_per_atom": -3.432, "magmom_total_mub_per_atom": 0.001, "e_above_lowest_polymorph_ev_per_atom": 0.234, "cell": [[1.5179, -2.8627, 0.0000], [1.5179, 2.8627, 0.0000], [0.0000, 0.0000, 9.8742]], "species": ["Cd", "Ru", "Cl", "Cl"], "frac_coords": [[0.0000, 0.0000, 0.0000], [0.0000, 0.0000, 0.5000], [0.5000, 0.5000, 0.3154], [0.5000, 0.5000, 0.6846]]}